The following is a DFT calculation (PBE-GGA) of a geometry-optimized Er4ZnPt structure. Values from VASP.

The structure in Quantum ESPRESSO input format:
```
&SYSTEM
  ibrav = 0, nat = 24, ntyp = 3
/
ATOMIC_SPECIES
Er 167.26 Er.upf
Zn 65.41 Zn.upf
Pt 195.08 Pt.upf
CELL_PARAMETERS angstrom
0.0000 6.6817 6.6817
6.6817 0.0000 6.6817
6.6817 6.6817 0.0000
ATOMIC_POSITIONS crystal
Er 0.0595 0.0595 0.4405
Er 0.0595 0.4405 0.0595
Er 0.0595 0.4405 0.4405
Er 0.1722 0.6093 0.6093
Er 0.1853 0.1853 0.8147
Er 0.1853 0.8147 0.1853
Er 0.1853 0.8147 0.8147
Er 0.4405 0.0595 0.0595
Er 0.4405 0.0595 0.4405
Er 0.4405 0.4405 0.0595
Er 0.6093 0.1722 0.6093
Er 0.6093 0.6093 0.1722
Er 0.6093 0.6093 0.6093
Er 0.8147 0.1853 0.1853
Er 0.8147 0.1853 0.8147
Er 0.8147 0.8147 0.1853
Zn 0.5040 0.8320 0.8320
Zn 0.8320 0.5040 0.8320
Zn 0.8320 0.8320 0.5040
Zn 0.8320 0.8320 0.8320
Pt 0.3956 0.3956 0.3956
Pt 0.3956 0.3956 0.8131
Pt 0.3956 0.8131 0.3956
Pt 0.8131 0.3956 0.3956
```

Results
E_form: -0.60 eV/atom
energy above the lowest structure with this stoichiometry: 0.00 kJ/mol of atoms
E: -4.8644 eV per atom
total magnetization: 0.0 μB/cell